First-principles (GGA-PBE) data for a relaxed KLi2Mn crystal, as listed in Alexandria.

extended XYZ file:
```
4
Lattice="3.525 -4.568 0.000 3.525 4.568 0.000 -0.007 0.000 3.115" Properties=species:S:1:pos:R:3 pbc="T T T"
K 0.000 0.000 0.000
Li 1.759 2.284 1.557
Li 1.759 -2.284 1.557
Mn 3.525 0.000 0.000
```

Values from the calculation:
As for the energy above the most stable polymorph in this dataset: 139 meV per atom.


First-principles (GGA-PBE) data for a relaxed Pm4TcI5 crystal, as listed in Alexandria.

extended XYZ file:
```
10
Lattice="9.873 -2.093 0.000 9.873 2.093 0.000 -2.259 0.000 9.236" Properties=species:S:1:pos:R:3 pbc="T T T"
Pm -0.484 0.000 2.015
Pm 17.971 0.000 7.221
Pm 5.071 0.000 8.593
Pm 12.416 0.000 0.643
Tc 9.873 0.000 0.000
I 2.558 0.000 3.068
I 1.481 0.000 7.721
I 8.744 0.000 4.618
I 16.007 0.000 1.515
I 14.930 0.000 6.168
```

Values from the calculation:
The uncorrected formation energy is -0.992 eV/atom.


First-principles (GGA-PBE) data for a relaxed ReGe3Pt crystal, as listed in Alexandria.

extended XYZ file:
```
5
Lattice="4.780 0.000 0.000 0.000 4.780 0.000 0.000 0.000 4.780" Properties=species:S:1:pos:R:3 pbc="T T T"
Re 0.000 0.000 0.000
Ge 0.000 0.000 2.390
Ge 0.000 2.390 0.000
Ge 2.390 0.000 0.000
Pt 2.390 2.390 2.390
```

Values from the calculation:
As for the energy above the most stable polymorph in this dataset: 0 meV per atom.


First-principles (GGA-PBE) data for a relaxed La2CdPb crystal, as listed in Alexandria.

extended XYZ file:
```
4
Lattice="4.980 -1.989 0.000 4.980 1.989 0.000 -1.575 0.000 6.950" Properties=species:S:1:pos:R:3 pbc="T T T"
La 2.064 0.000 1.713
La 6.321 0.000 5.236
Cd -0.787 0.000 3.475
Pb 4.980 0.000 0.000
```

Values from the calculation:
For the total energy, the calculation gives -3.90 eV/atom.


First-principles (GGA-PBE) data for a relaxed Ni2Pt9Rh crystal, as listed in Alexandria.

extended XYZ file:
```
12
Lattice="3.904 0.000 0.000 0.000 3.904 0.000 0.000 0.000 11.731" Properties=species:S:1:pos:R:3 pbc="T T T"
Ni 0.000 0.000 1.937
Ni 0.000 0.000 9.795
Pt 0.000 1.952 0.000
Pt 0.000 1.952 3.857
Pt 0.000 1.952 7.874
Pt 1.952 0.000 0.000
Pt 1.952 0.000 3.857
Pt 1.952 0.000 7.874
Pt 1.952 1.952 1.923
Pt 1.952 1.952 5.866
Pt 1.952 1.952 9.809
Rh 0.000 0.000 5.866
```

Values from the calculation:
For the total energy, the calculation gives -6.16 eV/atom.


First-principles (GGA-PBE) data for a relaxed La2HoV crystal, as listed in Alexandria.

extended XYZ file:
```
4
Lattice="1.715 0.990 11.713 -1.715 0.990 11.713 0.000 -1.980 11.713" Properties=species:S:1:pos:R:3 pbc="T T T"
La 0.000 0.000 2.751
La 0.000 0.000 32.389
Ho 0.000 0.000 17.570
V 0.000 0.000 0.000
```

Values from the calculation:
For the total energy, the calculation gives -5.28 eV/atom.


| no. | V (Å³/f.u.) |
| --- | --- |
| 1 | 100.3 |
| 2 | 381.8 |
| 3 | 109.2 |
| 4 | 137.6 |
| 5 | 178.8 |
| 6 | 119.3 |